[1]
SbAsO3 | GGA-PBE | optimized geometry

- ΔE_f (raw): -0.4171 eV per atom

Lattice parameters (Å, degrees): 4.029 4.029 4.029 90.00 90.00 90.00
Fractional positions:
Sb  0.000  0.000  0.000
As  0.500  0.500  0.500
O  0.000  0.000  0.500
O  0.000  0.500  0.000
O  0.500  0.000  0.000

[2]
Sb3AsO | GGA-PBE | optimized geometry

- ΔE_f (raw): 1.1470 eV per atom
- Excess energy over the best structure of this formula in the dataset: 995.2 meV per atom

Lattice parameters (Å, degrees): 5.334 5.334 5.334 90.00 90.00 90.00
Fractional positions:
Sb  0.000  0.000  0.500
Sb  0.000  0.500  0.000
Sb  0.500  0.000  0.000
As  0.000  0.000  0.000
O  0.500  0.500  0.500